A plane-wave DFT calculation with meta-GGA SCAN was carried out for BiSbH3 at its PBEsol-relaxed geometry.

CIF file:
```
data_BiSbH3
_chemical_formula_sum 'Bi1 Sb1 H3'
_space_group_name_H-M_alt 'P m -3 m'
_space_group_IT_number 221
_space_group_name_Hall '-P 4 2 3'
_cell_length_a 4.0662
_cell_length_b 4.0662
_cell_length_c 4.0662
_cell_angle_alpha 90.00
_cell_angle_beta 90.00
_cell_angle_gamma 90.00
loop_
_atom_site_label
_atom_site_fract_x
_atom_site_fract_y
_atom_site_fract_z
Bi1 0.0000 0.0000 0.0000
Sb1 0.5000 0.5000 0.5000
H1 0.0000 0.5000 0.5000
```

Output
VASP energy   -24.44 eV/atom
Total magnetization   0.00 Bohr magnetons per cell
Density of states at the Fermi level   2.015 states/eV/cell
Volume   13.45 Å³ per atom